## a
The following is a GGA-PBE calculation of a relaxed CaBr2O crystal, from Alexandria.

total magnetization = 0.00 μB per cell
calculated density = 3.166 g/cm3
V = 226 Å³ per cell

abc: 4.2775 7.2560 7.6830
angles: 108.10 92.08 90.61
Positions (direct):
Ca: 0.7353 0.6654 0.4481
Ca: 0.2349 0.1833 0.3866
Br: 0.2056 0.6160 0.7734
Br: 0.7477 0.1006 0.6119
Br: 0.7208 0.2751 0.1725
Br: 0.2211 0.7623 0.2077
O: 0.8172 0.6826 0.7597
O: 0.2619 0.5263 0.5253


## b
The following is a GGA-PBE calculation of a relaxed CaBr2O crystal, from Alexandria.

total magnetization = 0.00 μB per cell
calculated density = 3.663 g/cm3
V = 392 Å³ per cell

abc: 13.9250 3.9869 15.2433
angles: 90.00 152.44 90.00
Positions (direct):
Ca: 0.6575 0.7517 0.3697
Ca: 0.1575 0.2483 0.8697
Ca: 0.6575 0.2517 0.8697
Ca: 0.1575 0.7483 0.3697
O: 0.2868 0.7499 0.0436
O: 0.7868 0.2501 0.5436
O: 0.2868 0.2499 0.5436
O: 0.7868 0.7501 0.0436
Br: 0.1085 0.2281 0.1858
Br: 0.6085 0.7719 0.6858
Br: 0.1085 0.7281 0.6858
Br: 0.6085 0.2719 0.1858
Br: 0.2189 0.9087 0.1035
Br: 0.7189 0.0913 0.6035
Br: 0.2189 0.4087 0.6035
Br: 0.7189 0.5913 0.1035


Of them, a has the lowest stability.


## a
The following is a GGA-PBE calculation of a relaxed CaSe2BrO crystal, from Alexandria.

total magnetization = 0.19 μB per cell
calculated density = 4.498 g/cm3
V = 108 Å³ per cell

abc: 4.2213 4.2213 6.0885
angles: 90.00 90.00 90.00
Each line ends with the local moment (μB).
Positions (direct):
O: 0.0000 0.0000 0.0000  0.01
Ca: 0.5000 0.5000 0.5000  0.00
Se: 0.0000 0.5000 0.0000  0.06
Se: 0.5000 0.0000 0.0000  0.06
Br: 0.0000 0.0000 0.5000  0.00


## b
The following is a GGA-PBE calculation of a relaxed CaSe2BrO crystal, from Alexandria.

total magnetization = 3.12 μB per cell
calculated density = 2.585 g/cm3
V = 189 Å³ per cell

abc: 5.8411 5.8411 5.5326
angles: 90.00 90.00 90.00
Each line ends with the local moment (μB).
Positions (direct):
O: 0.5000 0.5000 0.5000  -0.03
Ca: 0.0000 0.0000 0.0000  -0.01
Se: 0.0000 0.5000 0.0000  0.89
Se: 0.5000 0.0000 0.0000  0.89
Br: 0.0000 0.0000 0.5000  0.14


Of them, b has the lowest stability.


## a
The following is a GGA-PBE calculation of a relaxed CaOs2Br crystal, from Alexandria.

total magnetization = 0.00 μB per cell
calculated density = 11.419 g/cm3
V = 73 Å³ per cell

abc: 4.5727 4.5727 4.5727
angles: 113.13 113.13 102.37
Positions (direct):
Ca: 0.7500 0.2500 0.5000
Os: 0.0000 0.0000 0.0000
Os: 0.2500 0.7500 0.5000
Br: 0.5000 0.5000 0.0000


## b
The following is a GGA-PBE calculation of a relaxed CaOs2Br crystal, from Alexandria.

total magnetization = 0.00 μB per cell
calculated density = 11.618 g/cm3
V = 72 Å³ per cell

abc: 9.5210 9.5210 9.5210
angles: 17.94 17.94 17.94
Positions (direct):
Ca: 0.7500 0.7500 0.7500
Os: 0.9953 0.9953 0.9953
Os: 0.5047 0.5047 0.5047
Br: 0.2500 0.2500 0.2500


Of them, b has the lowest stability.


## a
The following is a GGA-PBE calculation of a relaxed CaOs2Br crystal, from Alexandria.

total magnetization = 0.00 μB per cell
calculated density = 11.527 g/cm3
V = 72 Å³ per cell

abc: 2.9281 2.9281 9.5958
angles: 90.00 90.00 118.81
Positions (direct):
Ca: 0.5000 0.5000 0.7500
Os: 0.0000 0.0000 0.0074
Os: 0.0000 0.0000 0.4926
Br: 0.5000 0.5000 0.2500


## b
The following is a GGA-PBE calculation of a relaxed CaOs2Br crystal, from Alexandria.

total magnetization = 0.00 μB per cell
calculated density = 10.043 g/cm3
V = 83 Å³ per cell

abc: 3.2949 4.0646 6.1782
angles: 90.00 90.00 90.00
Positions (direct):
Ca: 0.0000 0.5000 0.5000
Os: 0.0000 0.0000 0.0000
Os: 0.5000 0.5000 0.0000
Br: 0.5000 0.0000 0.5000


Of them, a has the lowest stability.


## a
The following is a GGA-PBE calculation of a relaxed CaOs2Br crystal, from Alexandria.

total magnetization = 0.00 μB per cell
calculated density = 7.901 g/cm3
V = 105 Å³ per cell

abc: 4.0580 4.0580 7.5947
angles: 79.21 79.21 59.45
Positions (direct):
Ca: 0.2705 0.2705 0.2222
Os: 0.0139 0.0139 0.8803
Os: 0.6684 0.6684 0.9380
Br: 0.5471 0.5471 0.4595


## b
The following is a GGA-PBE calculation of a relaxed CaOs2Br crystal, from Alexandria.

total magnetization = 0.00 μB per cell
calculated density = 10.708 g/cm3
V = 78 Å³ per cell

abc: 5.7874 5.7874 2.9186
angles: 90.00 90.00 127.45
Positions (direct):
Ca: 0.0000 0.5000 0.5000
Os: 0.0000 0.0000 0.0000
Os: 0.5000 0.5000 0.0000
Br: 0.5000 0.0000 0.5000


Of them, b has the lowest stability.


## a
The following is a GGA-PBE calculation of a relaxed CaOs2Br crystal, from Alexandria.

total magnetization = 0.00 μB per cell
calculated density = 10.993 g/cm3
V = 76 Å³ per cell

abc: 9.2632 9.2632 9.2632
angles: 19.26 19.26 19.26
Positions (direct):
Ca: 0.7498 0.7498 0.7498
Os: 0.9936 0.9936 0.9936
Os: 0.2579 0.2579 0.2579
Br: 0.4988 0.4988 0.4988


## b
The following is a GGA-PBE calculation of a relaxed CaOs2Br crystal, from Alexandria.

total magnetization = 0.00 μB per cell
calculated density = 8.949 g/cm3
V = 93 Å³ per cell

abc: 5.6497 5.6497 5.6497
angles: 141.05 123.45 70.80
Positions (direct):
Ca: 0.2616 0.7616 0.5000
Os: 0.9188 0.9188 0.0000
Os: 0.7701 0.2701 0.5000
Br: 0.5495 0.5495 0.0000


Of them, a has the lowest stability.


## a
The following is a GGA-PBE calculation of a relaxed CaOs2Br crystal, from Alexandria.

total magnetization = 0.00 μB per cell
calculated density = 9.863 g/cm3
V = 84 Å³ per cell

abc: 3.5237 3.1123 7.8395
angles: 78.52 90.00 90.00
Positions (direct):
Ca: 0.5000 0.6834 0.7586
Os: 0.0000 0.0395 0.0455
Os: 0.5000 0.4763 0.1715
Br: 0.0000 0.3009 0.5244


## b
The following is a GGA-PBE calculation of a relaxed CaOs2Br crystal, from Alexandria.

total magnetization = 0.00 μB per cell
calculated density = 10.087 g/cm3
V = 165 Å³ per cell

abc: 8.0865 8.0865 6.2485
angles: 49.68 49.68 90.00
Positions (direct):
Ca: 0.5000 0.5000 0.0000
Ca: 0.2500 0.7500 0.5000
Os: 0.6761 0.1250 0.2500
Os: 0.0739 0.6250 0.2500
Os: 0.3750 0.3239 0.7500
Os: 0.8750 0.9261 0.7500
Br: 0.0000 0.0000 0.0000
Br: 0.7500 0.2500 0.5000


Of them, b has the lowest stability.


## a
The following is a GGA-PBE calculation of a relaxed CaOsSeBr2 crystal, from Alexandria.

total magnetization = 0.00 μB per cell
calculated density = 5.981 g/cm3
V = 130 Å³ per cell

abc: 5.2044 5.2044 4.8081
angles: 90.00 90.00 90.00
Positions (direct):
Ca: 0.5000 0.5000 0.5000
Os: 0.0000 0.0000 0.0000
Se: 0.0000 0.0000 0.5000
Br: 0.0000 0.5000 0.0000
Br: 0.5000 0.0000 0.0000


## b
The following is a GGA-PBE calculation of a relaxed CaOsSeBr2 crystal, from Alexandria.

total magnetization = 4.71 μB per cell
calculated density = 4.626 g/cm3
V = 168 Å³ per cell

abc: 5.3817 5.3817 5.8136
angles: 90.00 90.00 90.00
Each line ends with the local moment (μB).
Positions (direct):
Ca: 0.0000 0.0000 0.0000  0.00
Os: 0.5000 0.5000 0.5000  3.60
Se: 0.0000 0.0000 0.5000  0.12
Br: 0.0000 0.5000 0.0000  0.09
Br: 0.5000 0.0000 0.0000  0.09


Of them, b has the lowest stability.